Here is Co2AuBr after structural relaxation from Alexandria. Energies are from GGA-PBE.

Computed properties:
The energy above the most stable polymorph in this dataset comes out at 31 meV/atom. The space group is R3m (160). The value obtained for the electronic total energy is -17.55 eV/cell. Its formation energy without anion corrections is 404 meV/atom.

Unit cell a=7.136 b=7.136 c=7.136 alpha=28.36 beta=28.36 gamma=28.36
Site moments in Bohr magnetons follow the coordinates.
Positions (direct):
Co1 0.983 0.983 0.983  1.80
Co2 0.266 0.266 0.266  1.76
Br1 0.729 0.729 0.729  0.05
Au1 0.522 0.522 0.522  0.02

Here is Co5Au3Br12 after structural relaxation from Alexandria. Energies are from GGA-PBE.

Computed properties:
The space group is Ia-3d (230). The value obtained for the electronic total energy is -263.14 eV/cell. Its formation energy without anion corrections is -17 meV/atom.

Unit cell a=13.923 b=13.923 c=13.923 alpha=109.47 beta=109.47 gamma=109.47
Site moments in Bohr magnetons follow the coordinates.
Positions (direct):
Br1 0.897 0.824 0.524  0.14
Br2 0.573 0.873 0.397  0.14
Br3 0.373 0.397 0.073  0.14
Br4 0.300 0.873 0.976  0.14
Br5 0.200 0.524 0.627  0.14
Br6 0.700 0.573 0.176  0.14
Br7 0.324 0.524 0.397  0.14
Br8 0.176 0.073 0.700  0.14
Br9 0.800 0.324 0.927  0.14
Br10 0.976 0.373 0.300  0.14
Br11 0.476 0.800 0.873  0.14
Br12 0.824 0.927 0.300  0.14
Br13 0.397 0.373 0.573  0.14
Br14 0.927 0.824 0.800  0.14
Br15 0.073 0.897 0.373  0.14
Br16 0.824 0.897 0.024  0.14
Br17 0.127 0.427 0.103  0.14
Br18 0.897 0.073 0.873  0.14
Br19 0.700 0.127 0.024  0.14
Br20 0.476 0.676 0.103  0.14
Br21 0.573 0.700 0.676  0.14
Br22 0.873 0.573 0.897  0.14
Br23 0.103 0.927 0.127  0.14
Br24 0.873 0.300 0.476  0.14
Br25 0.976 0.603 0.176  0.14
Br26 0.324 0.800 0.427  0.14
Br27 0.073 0.176 0.200  0.14
Br28 0.427 0.127 0.603  0.14
Br29 0.176 0.103 0.976  0.14
Br30 0.300 0.427 0.824  0.14
Br31 0.427 0.300 0.324  0.14
Br32 0.103 0.176 0.476  0.14
Br33 0.373 0.976 0.800  0.14
Br34 0.127 0.700 0.524  0.14
Br35 0.627 0.024 0.200  0.14
Br36 0.024 0.627 0.700  0.14
Br37 0.200 0.676 0.073  0.14
Br38 0.927 0.103 0.627  0.14
Br39 0.397 0.024 0.324  0.14
Br40 0.603 0.976 0.676  0.14
Br41 0.676 0.200 0.573  0.14
Br42 0.676 0.476 0.603  0.14
Br43 0.524 0.324 0.897  0.14
Br44 0.627 0.603 0.927  0.14
Br45 0.524 0.200 0.127  0.14
Br46 0.603 0.627 0.427  0.14
Br47 0.024 0.397 0.824  0.14
Br48 0.800 0.476 0.373  0.14
Co1 0.000 0.000 0.000  2.28
Co2 0.000 0.500 0.000  2.28
Co3 0.875 0.625 0.750  2.31
Co4 0.250 0.875 0.125  2.31
Co5 0.500 0.500 0.500  2.28
Co6 0.750 0.125 0.875  2.31
Co7 0.875 0.250 0.625  2.31
Co8 0.500 0.500 0.000  2.28
Co9 0.125 0.375 0.250  2.31
Co10 0.375 0.250 0.125  2.31
Co11 0.250 0.375 0.625  2.31
Co12 0.125 0.750 0.375  2.31
Co13 0.625 0.750 0.875  2.31
Co14 0.500 0.000 0.000  2.28
Co15 0.750 0.625 0.375  2.31
Co16 0.500 0.000 0.500  2.28
Co17 0.375 0.125 0.750  2.31
Co18 0.000 0.500 0.500  2.28
Co19 0.000 0.000 0.500  2.28
Co20 0.625 0.875 0.250  2.31
Au1 0.625 0.375 0.750  0.03
Au2 0.750 0.875 0.625  0.03
Au3 0.750 0.375 0.125  0.03
Au4 0.250 0.125 0.375  0.03
Au5 0.375 0.750 0.625  0.03
Au6 0.875 0.750 0.125  0.03
Au7 0.125 0.250 0.875  0.03
Au8 0.375 0.625 0.250  0.03
Au9 0.625 0.250 0.375  0.03
Au10 0.125 0.875 0.750  0.03
Au11 0.250 0.625 0.875  0.03
Au12 0.875 0.125 0.250  0.03

Here is Co2AuBr after structural relaxation from Alexandria. Energies are from GGA-PBE.

Computed properties:
The energy above the most stable polymorph in this dataset comes out at 289 meV/atom. The space group is Cmmm (65). The value obtained for the electronic total energy is -16.52 eV/cell. Its formation energy without anion corrections is 661 meV/atom.

Unit cell a=4.536 b=4.536 c=3.071 alpha=89.98 beta=89.98 gamma=90.11
Site moments in Bohr magnetons follow the coordinates.
Positions (direct):
Br1 0.000 0.500 0.500  0.17
Co1 0.000 0.000 0.000  1.94
Co2 0.500 0.500 0.000  1.94
Au1 0.500 0.000 0.500  0.06

Here is CoAuBr after structural relaxation from Alexandria. Energies are from GGA-PBE.

Computed properties:
The energy above the most stable polymorph in this dataset comes out at 120 meV/atom. The space group is I4mm (107). The value obtained for the electronic total energy is -10.88 eV/cell. Its formation energy without anion corrections is 393 meV/atom.

Unit cell a=6.879 b=6.879 c=3.083 alpha=77.05 beta=77.05 gamma=25.90
Site moments in Bohr magnetons follow the coordinates.
Positions (direct):
Au1 0.042 0.042 0.958  0.06
Co1 0.671 0.671 0.329  2.12
Br1 0.286 0.286 0.714  0.25

Here is Co2AuBr after structural relaxation from Alexandria. Energies are from GGA-PBE.

Computed properties:
The energy above the most stable polymorph in this dataset comes out at 11 meV/atom. The space group is Cm (8). The value obtained for the electronic total energy is -17.63 eV/cell. Its formation energy without anion corrections is 383 meV/atom.

Unit cell a=3.497 b=3.497 c=7.091 alpha=90.08 beta=90.08 gamma=59.80
Site moments in Bohr magnetons follow the coordinates.
Positions (direct):
Co1 0.041 0.041 0.949  1.88
Co2 0.709 0.709 0.800  1.82
Au1 0.376 0.376 0.572  0.04
Br1 0.374 0.374 0.179  0.07

Here is Co2AuBr after structural relaxation from Alexandria. Energies are from GGA-PBE.

Computed properties:
The energy above the most stable polymorph in this dataset comes out at 200 meV/atom. The space group is R-3m (166). The value obtained for the electronic total energy is -16.87 eV/cell. Its formation energy without anion corrections is 572 meV/atom.

Unit cell a=7.874 b=7.874 c=7.874 alpha=22.82 beta=22.82 gamma=22.82
Site moments in Bohr magnetons follow the coordinates.
Positions (direct):
Co1 0.002 0.002 0.002  1.76
Co2 0.498 0.498 0.498  1.76
Au1 0.250 0.250 0.250  -0.01
Br1 0.750 0.750 0.750  0.16

Here is Co3AuBr after structural relaxation from Alexandria. Energies are from GGA-PBE.

Computed properties:
The energy above the most stable polymorph in this dataset comes out at 318 meV/atom. The space group is Pm-3m (221). The value obtained for the electronic total energy is -19.38 eV/cell. Its formation energy without anion corrections is 1378 meV/atom.

Unit cell a=4.821 b=4.821 c=4.821 alpha=90.00 beta=90.00 gamma=90.00
Site moments in Bohr magnetons follow the coordinates.
Positions (direct):
Au1 0.000 0.000 0.000  0.12
Co1 0.000 0.500 0.000  2.02
Co2 0.000 0.000 0.500  2.52
Co3 0.500 0.000 0.000  1.55
Br1 0.500 0.500 0.500  0.08

Here is CoAuBr after structural relaxation from Alexandria. Energies are from GGA-PBE.

Computed properties:
The energy above the most stable polymorph in this dataset comes out at 0 meV/atom. The space group is P3m1 (156). The value obtained for the electronic total energy is -11.24 eV/cell. Its formation energy without anion corrections is 273 meV/atom.

Unit cell a=3.362 b=3.362 c=6.324 alpha=90.00 beta=90.00 gamma=120.00
Site moments in Bohr magnetons follow the coordinates.
Positions (direct):
Au1 0.000 0.000 0.931  -0.01
Br1 0.333 0.667 0.416  0.17
Co1 0.667 0.333 0.653  1.91